[1]
PrZnSn2Rh2 after structural relaxation. Source: the Alexandria database, functional PBE.

Unit cell a=4.6963 b=4.6963 c=5.9218 alpha=90.00 beta=90.00 gamma=90.00
Closest atoms and distances in Å follow each position.
Space group P4/mmm (No. 123)
Asymmetric unit:
1 Pr 0.0000 0.0000 0.0000  2 Zn 2.96
2 Zn 0.0000 0.0000 0.5000  4 Rh 2.35
3 Sn 0.5000 0.5000 0.2426  4 Rh 2.80, 2 Sn 2.87-3.05
4 Rh 0.0000 0.5000 0.5000  2 Zn 2.35

Calculated values
* DFT formation energy: -403 meV/atom
* density of states at the Fermi level: 6.2 states/eV/cell

=====

[2]
Pr2ZnSn4Rh3 after structural relaxation. Source: the Alexandria database, functional PBE.

Unit cell a=4.5184 b=4.5184 c=10.9015 alpha=90.00 beta=90.00 gamma=90.00
Closest atoms and distances in Å follow each position.
Space group P-4m2 (No. 115)
Asymmetric unit:
1 Pr 0.0000 0.5000 0.2486  8 Sn 3.44-3.53, 6 Rh 3.46-3.55, 2 Zn 3.55
2 Zn 0.0000 0.0000 0.5000  4 Sn 2.70
3 Sn 0.0000 0.0000 0.0000  4 Rh 2.65
4 Sn 0.0000 0.5000 0.6353  3 Rh 2.58-2.70, 2 Zn 2.70
5 Sn 0.5000 0.5000 0.0000  4 Rh 2.65
6 Rh 0.0000 0.5000 0.8723  5 Sn 2.58-2.65
7 Rh 0.5000 0.5000 0.5000  4 Sn 2.70

Calculated values
* DFT formation energy: -638 meV/atom
* density of states at the Fermi level: 5.9 states/eV/cell

=====

[3]
Pr2ZnSn3Rh4 after structural relaxation. Source: the Alexandria database, functional PBE.

Unit cell a=4.4344 b=4.4344 c=10.7836 alpha=90.00 beta=90.00 gamma=90.00
Closest atoms and distances in Å follow each position.
Space group P-4m2 (No. 115)
Asymmetric unit:
1 Pr 0.0000 0.5000 0.2484  6 Sn 3.39-3.48, 8 Rh 3.40-3.50, 2 Zn 3.48
2 Zn 0.5000 0.5000 0.0000  4 Rh 2.61
3 Sn 0.0000 0.0000 0.0000  4 Rh 2.61
4 Sn 0.0000 0.5000 0.6320  5 Rh 2.59-2.63
5 Rh 0.0000 0.0000 0.5000  4 Sn 2.63
6 Rh 0.0000 0.5000 0.8723  3 Sn 2.59-2.61, 2 Zn 2.61
7 Rh 0.5000 0.5000 0.5000  4 Sn 2.63

Calculated values
* DFT formation energy: -675 meV/atom
* density of states at the Fermi level: 7.0 states/eV/cell

=====

[4]
Pr2ZrSn3Rh4 after structural relaxation. Source: the Alexandria database, functional PBE.

Unit cell a=4.4017 b=4.4017 c=11.3096 alpha=90.00 beta=90.00 gamma=90.00
Closest atoms and distances in Å follow each position.
Space group P-4m2 (No. 115)
Asymmetric unit:
1 Pr 0.0000 0.5000 0.2395  6 Sn 3.36-3.68, 8 Rh 3.40-3.49, 2 Zr 3.68
2 Zr 0.0000 0.0000 0.5000  4 Rh 2.71
3 Sn 0.0000 0.5000 0.8722  5 Rh 2.62-2.63
4 Sn 0.5000 0.5000 0.5000  4 Rh 2.71
5 Rh 0.0000 0.0000 0.0000  4 Sn 2.63
6 Rh 0.0000 0.5000 0.6402  3 Sn 2.62-2.71, 2 Zr 2.71
7 Rh 0.5000 0.5000 0.0000  4 Sn 2.63

Calculated values
* DFT formation energy: -750 meV/atom
* density of states at the Fermi level: 5.9 states/eV/cell

=====

[5]
SrPrRh4 after structural relaxation. Source: the Alexandria database, functional PBE.

Unit cell a=7.7200 b=7.7200 c=7.7200 alpha=90.00 beta=90.00 gamma=90.00
Closest atoms and distances in Å follow each position.
Space group F-43m (No. 216)
Asymmetric unit:
1 Sr 0.0000 0.0000 0.0000  12 Rh 3.20, 4 Pr 3.34
2 Pr 0.2500 0.2500 0.7500  12 Rh 3.20, 4 Sr 3.34
3 Rh 0.1249 0.1249 0.3751  6 Rh 2.73

Calculated values
* DFT formation energy: -461 meV/atom
* density of states at the Fermi level: 17.6 states/eV/cell

=====

[6]
SrPr4Rh4 after structural relaxation. Source: the Alexandria database, functional PBE.

Unit cell a=9.2979 b=9.2979 c=5.7921 alpha=90.00 beta=90.00 gamma=90.00
Closest atoms and distances in Å follow each position.
Space group P4_2/n (No. 86, origin choice 2)
Asymmetric unit:
1 Sr 0.2500 0.2500 0.2500  4 Rh 3.05
2 Pr 0.0746 0.6542 0.1664  5 Rh 2.83-3.05
3 Rh 0.0448 0.6166 0.6609  5 Pr 2.83-3.05, 1 Rh 2.98, 1 Sr 3.05

Calculated values
* DFT formation energy: -471 meV/atom
* density of states at the Fermi level: 6.5 states/eV/cell